# 1
DFT (meta-GGA SCAN) results for a crystal of Al2FeBr relaxed with PBEsol. Values from VASP.

Calculated values
The value obtained for the density of states at the Fermi level is 0.407 states/eV per atom. The magnetic moment is 0.0 μB per cell. The value obtained for the raw formation energy is 759 meV per atom. The calculation puts the relative energy among the computed polymorphs at 644 meV/atom.

```
&SYSTEM
  ibrav = 0, nat = 4, ntyp = 3
/
ATOMIC_SPECIES
Br 79.90 Br.upf
Al 26.98 Al.upf
Fe 55.84 Fe.upf
CELL_PARAMETERS angstrom
3.905 0.000 0.000
0.000 3.905 0.000
-1.952 -1.952 3.926
ATOMIC_POSITIONS angstrom
Br 1.952 1.952 0.000
Al 0.000 1.952 1.963
Al 1.952 0.000 1.963
Fe 0.000 0.000 0.000
```

# 2
DFT (meta-GGA SCAN) results for a crystal of SiHg5 relaxed with PBEsol. Values from VASP.

Calculated values
The value obtained for the density of states at the Fermi level is 0.316 states/eV per atom. The magnetic moment is 0.0 μB per cell. The value obtained for the raw formation energy is 293 meV per atom.

```
&SYSTEM
  ibrav = 0, nat = 6, ntyp = 2
/
ATOMIC_SPECIES
Hg 200.59 Hg.upf
Si 28.09 Si.upf
CELL_PARAMETERS angstrom
2.977 0.000 0.000
0.000 2.977 0.000
0.000 0.000 14.896
ATOMIC_POSITIONS angstrom
Hg 0.000 0.000 2.208
Hg 1.488 1.488 10.077
Hg 1.488 1.488 4.819
Hg 0.000 0.000 7.448
Hg 0.000 0.000 12.688
Si 1.488 1.488 0.000
```

# 3
DFT (meta-GGA SCAN) results for a crystal of CoOsS2 relaxed with PBEsol. Values from VASP.

Calculated values
The value obtained for the density of states at the Fermi level is 0.631 states/eV per atom. The magnetic moment is 1.7 μB per cell. The value obtained for the raw formation energy is 442 meV per atom.

```
&SYSTEM
  ibrav = 0, nat = 4, ntyp = 3
/
ATOMIC_SPECIES
S 32.06 S.upf
Co 58.93 Co.upf
Os 190.23 Os.upf
CELL_PARAMETERS angstrom
-2.717 -2.430 1.912
-1.299 -3.460 -1.812
1.186 -3.660 1.463
ATOMIC_POSITIONS angstrom
S -0.708 -2.388 0.391
S -2.123 -7.163 1.173
Co 0.000 0.000 0.000
Os -1.415 -4.775 0.782
```

# 4
DFT (meta-GGA SCAN) results for a crystal of Ca2ZnAg relaxed with PBEsol. Values from VASP.

Calculated values
The value obtained for the density of states at the Fermi level is 0.623 states/eV per atom. The calculation puts the formation energy at -0.24 eV/atom. The magnetic moment is 0.0 μB per cell.

```
&SYSTEM
  ibrav = 0, nat = 4, ntyp = 3
/
ATOMIC_SPECIES
Ca 40.08 Ca.upf
Ag 107.87 Ag.upf
Zn 65.41 Zn.upf
CELL_PARAMETERS angstrom
-2.793 -3.348 -0.866
0.115 -2.023 -3.956
3.611 -6.159 0.757
ATOMIC_POSITIONS angstrom
Ca 3.143 -5.706 0.512
Ca 0.701 -3.336 -0.771
Ag 0.125 -8.091 -3.350
Zn 1.039 -6.321 -1.731
```

# 5
DFT (meta-GGA SCAN) results for a crystal of CsSc3Ru relaxed with PBEsol. Values from VASP.

Calculated values
The value obtained for the density of states at the Fermi level is 0.917 states/eV per atom. The calculation puts the formation energy at 0.16 eV/atom. The magnetic moment is 0.0 μB per cell.

```
&SYSTEM
  ibrav = 0, nat = 5, ntyp = 3
/
ATOMIC_SPECIES
Cs 132.91 Cs.upf
Ru 101.07 Ru.upf
Sc 44.96 Sc.upf
CELL_PARAMETERS angstrom
-1.317 -3.235 3.795
-1.629 -3.430 -3.490
4.713 -2.090 -0.146
ATOMIC_POSITIONS angstrom
Cs 0.883 -4.377 0.079
Ru 0.000 0.000 0.000
Sc 2.356 -1.045 -0.073
Sc -0.815 -1.715 -1.745
Sc -0.658 -1.618 1.897
```

# 6
DFT (meta-GGA SCAN) results for a crystal of ZrP2Rh relaxed with PBEsol. Values from VASP.

Calculated values
The value obtained for the density of states at the Fermi level is 0.612 states/eV per atom. The calculation puts the formation energy at -0.26 eV/atom. The magnetic moment is 0.0 μB per cell. The calculation puts the relative energy among the computed polymorphs at 619 meV/atom.

```
&SYSTEM
  ibrav = 0, nat = 4, ntyp = 3
/
ATOMIC_SPECIES
Rh 102.91 Rh.upf
P 30.97 P.upf
Zr 91.22 Zr.upf
CELL_PARAMETERS angstrom
-3.204 3.039 -0.292
-3.232 -0.472 -2.987
-4.108 -0.982 1.321
ATOMIC_POSITIONS angstrom
Rh -5.272 0.793 -0.979
P 0.000 0.000 0.000
P -7.908 1.189 -1.468
Zr -2.636 0.396 -0.489
```

# 7
DFT (meta-GGA SCAN) results for a crystal of MgAsIr2 relaxed with PBEsol. Values from VASP.

Calculated values
The value obtained for the density of states at the Fermi level is 0.773 states/eV per atom. The calculation puts the formation energy at -0.10 eV/atom. The magnetic moment is 0.0 μB per cell. The calculation puts the relative energy among the computed polymorphs at 182 meV/atom.

```
&SYSTEM
  ibrav = 0, nat = 4, ntyp = 3
/
ATOMIC_SPECIES
Ir 192.22 Ir.upf
As 74.92 As.upf
Mg 24.30 Mg.upf
CELL_PARAMETERS angstrom
-2.328 1.222 -2.681
2.242 -1.482 -2.622
-2.075 -3.444 2.862
ATOMIC_POSITIONS angstrom
Ir 0.000 0.000 0.000
Ir -2.223 -1.176 -1.236
As 0.062 -2.528 -1.206
Mg -0.043 -0.130 -2.652
```

# 8
DFT (meta-GGA SCAN) results for a crystal of LaZrTc2 relaxed with PBEsol. Values from VASP.

Calculated values
The value obtained for the density of states at the Fermi level is 0.678 states/eV per atom. The calculation puts the formation energy at 0.28 eV/atom. The magnetic moment is 0.0 μB per cell. The calculation puts the relative energy among the computed polymorphs at 93 meV/atom.

```
&SYSTEM
  ibrav = 0, nat = 4, ntyp = 3
/
ATOMIC_SPECIES
Zr 91.22 Zr.upf
La 138.91 La.upf
Tc 98.00 Tc.upf
CELL_PARAMETERS angstrom
-0.629 -0.261 3.170
-2.254 -2.086 1.039
4.881 -6.760 2.071
ATOMIC_POSITIONS angstrom
Zr 0.999 -4.554 3.140
La 0.000 0.000 0.000
Tc 0.547 -2.325 1.575
Tc 1.452 -6.782 4.704
```